1.
{
  "formula": "PPtSe2N",
  "functional": "SCAN",
  "state": "single point on PBEsol structure",
  "lattice": [[4.896, 0.000, 0.000], [0.000, 4.896, 0.000], [0.000, 0.000, 3.146]],
  "species": ["P", "Pt", "Se", "Se", "N"],
  "fractional_positions": [[0.000, 0.000, 0.000], [0.500, 0.500, 0.500], [0.000, 0.500, 0.000], [0.500, 0.000, 0.000], [0.000, 0.000, 0.500]],
  "space_group": "P4/mmm (123)",
  "e_tot_ev_per_atom": -25.397,
  "formation_energy_uncorrected_ev_per_atom": 0.6110,
  "density_kg_m3": 8764
}

---

2.
{
  "formula": "Tl2PPtN",
  "functional": "SCAN",
  "state": "single point on PBEsol structure",
  "lattice": [[5.295, 0.000, 0.000], [0.000, 5.295, 0.000], [0.000, 0.000, 3.374]],
  "species": ["Tl", "Tl", "P", "Pt", "N"],
  "fractional_positions": [[0.000, 0.500, 0.000], [0.500, 0.000, 0.000], [0.000, 0.000, 0.500], [0.500, 0.500, 0.500], [0.000, 0.000, 0.000]],
  "space_group": "P4/mmm (123)",
  "e_tot_ev_per_atom": -46.237,
  "formation_energy_uncorrected_ev_per_atom": 0.6827,
  "density_kg_m3": 11388
}

---

3.
{
  "formula": "RbPN2",
  "functional": "SCAN",
  "state": "single point on PBEsol structure",
  "lattice": [[4.345, 0.000, 0.000], [-2.173, 3.763, 0.000], [0.000, 0.000, 18.669]],
  "species": ["Rb", "Rb", "Rb", "P", "P", "P", "N", "N", "N", "N", "N", "N"],
  "fractional_positions": [[0.000, 0.000, 0.000], [0.333, 0.667, 0.667], [0.667, 0.333, 0.333], [0.000, 0.000, 0.500], [0.333, 0.667, 0.167], [0.667, 0.333, 0.833], [0.000, 0.000, 0.419], [0.000, 0.000, 0.581], [0.333, 0.667, 0.085], [0.333, 0.667, 0.248], [0.667, 0.333, 0.752], [0.667, 0.333, 0.915]],
  "space_group": "R-3m (166)",
  "e_tot_ev_per_atom": -12.411,
  "formation_energy_uncorrected_ev_per_atom": 0.0186,
  "density_kg_m3": 2357
}

---

4.
{
  "formula": "RbPS2N",
  "functional": "SCAN",
  "state": "single point on PBEsol structure",
  "lattice": [[5.276, 0.000, 0.000], [0.000, 5.276, 0.000], [0.000, 0.000, 3.200]],
  "species": ["Rb", "P", "S", "S", "N"],
  "fractional_positions": [[0.000, 0.000, 0.000], [0.500, 0.500, 0.500], [0.000, 0.500, 0.500], [0.500, 0.000, 0.500], [0.500, 0.500, 0.000]],
  "space_group": "P4/mmm (123)",
  "e_tot_ev_per_atom": -11.730,
  "formation_energy_uncorrected_ev_per_atom": 0.2067,
  "density_kg_m3": 3627
}

---

5.
{
  "formula": "RbP2SN",
  "functional": "SCAN",
  "state": "single point on PBEsol structure",
  "lattice": [[7.172, 0.000, 0.000], [0.000, 7.172, 0.000], [0.000, 0.000, 6.124]],
  "species": ["Rb", "P", "P", "S", "N"],
  "fractional_positions": [[0.000, 0.000, 0.000], [0.000, 0.500, 0.000], [0.500, 0.000, 0.000], [0.000, 0.000, 0.500], [0.500, 0.500, 0.500]],
  "space_group": "P4/mmm (123)",
  "e_tot_ev_per_atom": -9.792,
  "formation_energy_uncorrected_ev_per_atom": 2.2994,
  "density_kg_m3": 1020
}

---

6.
{
  "formula": "RePS2N",
  "functional": "SCAN",
  "state": "single point on PBEsol structure",
  "lattice": [[3.928, 0.000, 0.000], [0.000, 3.928, 0.000], [0.000, 0.000, 3.913]],
  "species": ["Re", "P", "S", "S", "N"],
  "fractional_positions": [[0.000, 0.000, 0.000], [0.500, 0.500, 0.000], [0.000, 0.500, 0.500], [0.500, 0.000, 0.500], [0.500, 0.500, 0.500]],
  "space_group": "P4/mmm (123)",
  "e_tot_ev_per_atom": -20.614,
  "formation_energy_uncorrected_ev_per_atom": 1.3950,
  "density_kg_m3": 8122
}

---

7.
{
  "formula": "PRh2N2",
  "functional": "SCAN",
  "state": "single point on PBEsol structure",
  "lattice": [[4.315, 0.000, 0.000], [0.000, 4.315, 0.000], [0.000, 0.000, 6.039]],
  "species": ["P", "P", "Rh", "Rh", "Rh", "Rh", "N", "N", "N", "N"],
  "fractional_positions": [[0.000, 0.000, 0.000], [0.500, 0.500, 0.500], [0.000, 0.500, 0.250], [0.000, 0.500, 0.750], [0.500, 0.000, 0.250], [0.500, 0.000, 0.750], [0.000, 0.000, 0.273], [0.000, 0.000, 0.727], [0.500, 0.500, 0.227], [0.500, 0.500, 0.773]],
  "space_group": "I4/mmm (139)",
  "e_tot_ev_per_atom": -18.646,
  "formation_energy_uncorrected_ev_per_atom": 0.6593,
  "density_kg_m3": 7822
}

---

8.
{
  "formula": "PRhS2N",
  "functional": "SCAN",
  "state": "single point on PBEsol structure",
  "lattice": [[4.686, 0.000, 0.000], [0.000, 4.686, 0.000], [0.000, 0.000, 4.385]],
  "species": ["P", "Rh", "S", "S", "N"],
  "fractional_positions": [[0.000, 0.000, 0.000], [0.000, 0.000, 0.500], [0.000, 0.500, 0.500], [0.500, 0.000, 0.500], [0.500, 0.500, 0.000]],
  "space_group": "P4/mmm (123)",
  "e_tot_ev_per_atom": -13.031,
  "formation_energy_uncorrected_ev_per_atom": 1.5127,
  "density_kg_m3": 3657
}

---

9.
{
  "formula": "PRu3N",
  "functional": "SCAN",
  "state": "single point on PBEsol structure",
  "lattice": [[4.258, 0.000, 0.000], [0.000, 4.258, 0.000], [0.000, 0.000, 4.258]],
  "species": ["P", "Ru", "Ru", "Ru", "N"],
  "fractional_positions": [[0.000, 0.000, 0.000], [0.000, 0.000, 0.500], [0.000, 0.500, 0.000], [0.500, 0.000, 0.000], [0.500, 0.500, 0.500]],
  "space_group": "Pm-3m (221)",
  "e_tot_ev_per_atom": -23.131,
  "formation_energy_uncorrected_ev_per_atom": 1.7024,
  "density_kg_m3": 7488
}

---

10.
{
  "formula": "P3RuN",
  "functional": "SCAN",
  "state": "single point on PBEsol structure",
  "lattice": [[3.887, 0.000, 0.000], [0.000, 3.887, 0.000], [0.000, 0.000, 3.887]],
  "species": ["P", "P", "P", "Ru", "N"],
  "fractional_positions": [[0.000, 0.000, 0.500], [0.000, 0.500, 0.000], [0.500, 0.000, 0.000], [0.500, 0.500, 0.500], [0.000, 0.000, 0.000]],
  "space_group": "Pm-3m (221)",
  "e_tot_ev_per_atom": -14.212,
  "formation_energy_uncorrected_ev_per_atom": 0.8511,
  "density_kg_m3": 5882
}

---

11.
{
  "formula": "PS2N2",
  "functional": "SCAN",
  "state": "single point on PBEsol structure",
  "lattice": [[3.905, 0.000, 0.000], [0.000, 3.905, 0.000], [0.000, 0.000, 3.734]],
  "species": ["P", "S", "S", "N", "N"],
  "fractional_positions": [[0.000, 0.000, 0.000], [0.000, 0.500, 0.500], [0.500, 0.000, 0.500], [0.500, 0.500, 0.000], [0.500, 0.500, 0.500]],
  "space_group": "P4/mmm (123)",
  "e_tot_ev_per_atom": -7.638,
  "formation_energy_uncorrected_ev_per_atom": 2.0094,
  "density_kg_m3": 3590
}

---

12.
{
  "formula": "PSeS2N",
  "functional": "SCAN",
  "state": "single point on PBEsol structure",
  "lattice": [[4.769, 0.000, 0.000], [0.000, 4.769, 0.000], [0.000, 0.000, 3.586]],
  "species": ["P", "Se", "S", "S", "N"],
  "fractional_positions": [[0.000, 0.000, 0.000], [0.500, 0.500, 0.500], [0.000, 0.500, 0.500], [0.500, 0.000, 0.500], [0.500, 0.500, 0.000]],
  "space_group": "P4/mmm (123)",
  "e_tot_ev_per_atom": -10.368,
  "formation_energy_uncorrected_ev_per_atom": 1.4365,
  "density_kg_m3": 3828
}